LiTaBi2As: optimized geometry, PBE.

As for the crystal system: tetragonal. The space group is P4/mmm (123). The calculation puts the formation energy at 0.277 eV per atom. Its density of states at the Fermi level is 0.7098 states/eV per atom. Its total moment is 0.000 μB per formula unit. For the volume, the calculation gives 155.20 Å³/f.u. The density comes out at 7.284 g/cm³.

POSCAR file:
```
LiTaBi2As
1.0
5.5815 0.0000 0.0000
0.0000 5.5815 0.0000
0.0000 0.0000 4.9818
Li Ta Bi As
1 1 2 1
direct
0.0000 0.0000 0.0000
0.5000 0.5000 0.5000
0.0000 0.5000 0.5000
0.5000 0.0000 0.5000
0.5000 0.5000 0.0000
```


CsBaSrY2: optimized geometry, PBE.

As for the crystal system: tetragonal. The space group is P4/mmm (123). The calculation puts the formation energy at 0.856 eV per atom. Its density of states at the Fermi level is 0.9136 states/eV per atom. Its total moment is 0.000 μB per formula unit. For the volume, the calculation gives 247.92 Å³/f.u. The density comes out at 3.588 g/cm³.

POSCAR file:
```
CsBaSrY2
1.0
6.0932 0.0000 0.0000
0.0000 6.0932 0.0000
0.0000 0.0000 6.6777
Cs Ba Sr Y
1 1 1 2
direct
0.0000 0.0000 0.0000
0.0000 0.0000 0.5000
0.5000 0.5000 0.0000
0.0000 0.5000 0.5000
0.5000 0.0000 0.5000
```


KFeH2: optimized geometry, PBE.

Its total energy is -30.9 eV/cell. As for the crystal system: tetragonal. The space group is I-42d (122). Its density of states at the Fermi level is 0.3538 states/eV per atom. Its total moment is 3.000 μB per formula unit. For the volume, the calculation gives 55.08 Å³/f.u. The density comes out at 2.923 g/cm³.

POSCAR file:
```
KFeH2
1.0
-2.7107 2.7107 3.7479
2.7107 -2.7107 3.7479
2.7107 2.7107 -3.7479
K Fe H
2 2 4
direct
0.0000 0.0000 0.0000
0.7500 0.2500 0.5000
0.2500 0.7500 0.5000
0.5000 0.5000 0.0000
0.2806 0.6250 0.1556
0.3750 0.5306 0.6556
0.4694 0.1250 0.8444
0.8750 0.7194 0.3444
```


Ti8NiPt2: optimized geometry, PBE.

As for the crystal system: monoclinic. The space group is C2/m (12). The calculation puts the formation energy at -0.385 eV per atom. Its density of states at the Fermi level is 1.5301 states/eV per atom. Its total moment is 0.028 μB per formula unit. For the volume, the calculation gives 180.14 Å³/f.u. The density comes out at 7.668 g/cm³.

POSCAR file:
```
Ti8NiPt2
1.0
7.0995 -2.1938 0.0000
7.0995 2.1938 0.0000
-2.3650 0.0000 5.7829
Ti Ni Pt
8 1 2
direct
0.0204 0.0204 0.2576
0.1809 0.1809 0.7637
0.3416 0.3416 0.5748
0.4116 0.4116 0.0599
0.5884 0.5884 0.9401
0.6584 0.6584 0.4252
0.8191 0.8191 0.2363
0.9796 0.9796 0.7424
0.5000 0.5000 0.5000
0.1897 0.1897 0.1798
0.8103 0.8103 0.8202
```


KHg2Au: optimized geometry, PBE.

As for the crystal system: cubic. The space group is Fm-3m (225). The calculation puts the formation energy at -0.148 eV per atom. Its density of states at the Fermi level is 0.2678 states/eV per atom. Its total moment is 0.000 μB per formula unit. For the volume, the calculation gives 108.14 Å³/f.u. The density comes out at 9.786 g/cm³.

POSCAR file:
```
KHg2Au
1.0
0.0000 3.7814 3.7814
3.7814 0.0000 3.7814
3.7814 3.7814 0.0000
K Hg Au
1 2 1
direct
0.0000 0.0000 0.0000
0.2500 0.2500 0.2500
0.7500 0.7500 0.7500
0.5000 0.5000 0.5000
```


K3HoSb2O6: optimized geometry, PBE.

As for the crystal system: trigonal. The space group is P-3m1 (164). For the raw formation energy, the calculation gives -2009 meV/atom. Its density of states at the Fermi level is 0.0000 states/eV per atom. Its total moment is 0.000 μB per formula unit. For the volume, the calculation gives 232.94 Å³/f.u. The density comes out at 4.432 g/cm³.

POSCAR file:
```
K3HoSb2O6
1.0
6.1157 0.0000 0.0000
-3.0579 5.2964 0.0000
0.0000 0.0000 7.1915
K Ho Sb O
3 1 2 6
direct
0.0000 0.0000 0.0000
0.3333 0.6667 0.6476
0.6667 0.3333 0.3524
0.0000 0.0000 0.5000
0.3333 0.6667 0.1810
0.6667 0.3333 0.8190
0.1712 0.3425 0.3120
0.1712 0.8288 0.3120
0.3425 0.1712 0.6880
0.6575 0.8288 0.3120
0.8288 0.1712 0.6880
0.8288 0.6575 0.6880
```


CeHAu2: optimized geometry, PBE.

Its total energy is -35.1 eV/cell. As for the crystal system: orthorhombic. The space group is Cmcm (63). Its density of states at the Fermi level is 1.4415 states/eV per atom. Its total moment is 0.676 μB per formula unit. For the volume, the calculation gives 73.51 Å³/f.u. The density comes out at 12.086 g/cm³.

POSCAR file:
```
CeHAu2
1.0
1.9834 -4.7430 0.0000
1.9834 4.7430 0.0000
0.0000 0.0000 7.8147
Ce H Au
2 2 4
direct
0.0612 0.9388 0.7500
0.9388 0.0612 0.2500
0.3368 0.6632 0.2500
0.6632 0.3368 0.7500
0.3546 0.6454 0.5533
0.3546 0.6454 0.9467
0.6454 0.3546 0.0533
0.6454 0.3546 0.4467
```


PrAlPd3: optimized geometry, PBE.

As for the crystal system: tetragonal. The space group is P4/nmm (129). The calculation puts the formation energy at -0.748 eV per atom. Its density of states at the Fermi level is 0.5800 states/eV per atom. Its total moment is 0.000 μB per formula unit. For the volume, the calculation gives 97.58 Å³/f.u. The density comes out at 8.290 g/cm³.

POSCAR file:
```
PrAlPd3
1.0
5.9733 0.0000 0.0000
0.0000 5.9733 0.0000
0.0000 0.0000 5.4694
Pr Al Pd
2 2 6
direct
0.2500 0.7500 0.0000
0.7500 0.2500 0.0000
0.2500 0.2500 0.2635
0.7500 0.7500 0.7365
0.0000 0.0000 0.5000
0.0000 0.5000 0.5000
0.2500 0.2500 0.8274
0.5000 0.0000 0.5000
0.5000 0.5000 0.5000
0.7500 0.7500 0.1726
```